[1]
VASP calculation (PBE) on a relaxed structure of AgW2Br6.

Values from the calculation:
Space-group type: C2/c (15)
Total energy in eV/atom: -4.3804
ΔE_f (raw) in eV/f.u.: -0.6
Magnetic moment in μB per cell: 0.00
D(E_F) in states/eV/cell: 5.821

POSCAR file:
```
AgW2Br6
1.0
7.957 -6.700 0.000
7.957 6.700 0.000
-1.548 0.000 4.737
Ag W Br
2 4 12
Cartesian
6.796 3.367 3.553
7.570 -3.367 1.184
2.842 0.534 3.493
3.616 -0.534 1.125
10.751 0.534 3.613
11.525 -0.534 1.244
5.859 5.300 1.793
3.555 1.958 1.306
9.282 5.300 0.576
5.014 1.405 4.400
2.781 -1.958 3.674
8.579 1.405 2.706
5.788 -1.405 2.032
11.586 1.958 1.063
9.353 -1.405 0.337
5.085 -5.300 4.162
10.812 -1.958 3.432
8.508 -5.300 2.944
```



[2]
VASP calculation (PBE) on a relaxed structure of Ag2W2Br.

Values from the calculation:
Space-group type: P4/mbm (127)
Total energy in eV/atom: -5.5931
ΔE_f (raw) in eV/f.u.: 5.3
Magnetic moment in μB per cell: 0.00
D(E_F) in states/eV/cell: 1.869

POSCAR file:
```
Ag2W2Br
1.0
6.616 0.000 0.000
0.000 6.616 0.000
0.000 0.000 4.405
Ag W Br
4 4 2
Cartesian
1.085 2.223 0.000
2.223 5.531 0.000
4.392 1.085 0.000
5.531 4.392 0.000
0.842 4.150 2.202
2.465 0.842 2.202
4.150 5.773 2.202
5.773 2.465 2.202
0.000 0.000 2.202
3.308 3.308 2.202
```



[3]
VASP calculation (PBE) on a relaxed structure of AgW2Br8.

Values from the calculation:
Space-group type: C2/m (12)
Total energy in eV/atom: -3.9706
ΔE_f (raw) in eV/f.u.: -1.5
Magnetic moment in μB per cell: 3.16
D(E_F) in states/eV/cell: 2.544

POSCAR file:
```
AgW2Br8
1.0
6.784 -4.823 0.000
6.784 4.823 0.000
-1.001 0.000 7.194
Ag W Br
1 2 8
Cartesian
0.000 0.000 0.000
2.198 0.000 4.786
10.369 0.000 2.408
4.969 3.083 1.437
2.184 0.000 2.390
7.598 3.083 5.757
4.457 0.000 5.575
8.110 0.000 1.619
4.969 -3.083 1.437
10.384 0.000 4.804
7.598 -3.083 5.757
```